A plane-wave DFT calculation with PBE was carried out for an optimized crystal structure of Rb3NbAu.

D(E_F)   0.57 states/eV per atom
Uncorrected energy   -2.3336 eV per atom
Formation energy   0.92 eV per atom
Offset from the most stable computed form   0.000 eV per formula unit

CIF file:
```
data_Rb3NbAu
_chemical_formula_sum 'Rb3 Nb1 Au1'
_cell_length_a 6.543
_cell_length_b 6.543
_cell_length_c 6.543
_cell_angle_alpha 90.00
_cell_angle_beta 90.00
_cell_angle_gamma 90.00
_space_group_name_H-M_alt 'P m -3 m'
_space_group_IT_number 221
_space_group_name_Hall '-P 4 2 3'
loop_
_atom_site_label
_atom_site_fract_x
_atom_site_fract_y
_atom_site_fract_z
_atom_site_occupancy
Rb1 0.000 0.000 0.500 1
Nb1 0.500 0.500 0.500 1
Au1 0.000 0.000 0.000 1
```